(1)
Material: Cr2AuSe
Method: DFT, PBE
State: relaxed Values from VASP.

Quantum ESPRESSO input file:
```
&SYSTEM
  ibrav = 0, nat = 4, ntyp = 3
/
ATOMIC_SPECIES
Au 196.97 Au.upf
Cr 52.00 Cr.upf
Se 78.96 Se.upf
ATOMIC_POSITIONS crystal
Au 0.295 0.795 0.500
Cr 0.963 0.963 0.000
Cr 0.700 0.200 0.500
Se 0.542 0.542 0.000
CELL_PARAMETERS angstrom
6.642 0.815 -0.469
4.317 5.113 0.469
-5.156 -3.563 2.393
```

Calculated values
The calculated density is 8210 kg/m³. The value obtained for the total magnetic moment is 8.13 μB/cell. The value obtained for the uncorrected formation energy is 184 meV per atom. Its density of states at the Fermi level is 0.593 states/eV per atom.



(2)
Material: CrAuSe2
Method: DFT, PBE
State: relaxed Values from VASP.

Quantum ESPRESSO input file:
```
&SYSTEM
  ibrav = 0, nat = 4, ntyp = 3
/
ATOMIC_SPECIES
Au 196.97 Au.upf
Cr 52.00 Cr.upf
Se 78.96 Se.upf
ATOMIC_POSITIONS crystal
Au 0.500 0.250 0.250
Cr 0.500 0.750 0.750
Se 0.000 0.254 0.912
Se 0.000 0.246 0.588
CELL_PARAMETERS angstrom
2.899 0.000 0.000
0.000 2.891 -0.224
0.000 0.646 9.344
```

Calculated values
The calculated density is 8579 kg/m³. The value obtained for the total magnetic moment is 0.00 μB/cell. The value obtained for the uncorrected formation energy is 49 meV per atom. Its density of states at the Fermi level is 0.325 states/eV per atom.



(3)
Material: Cr2AuSe
Method: DFT, PBE
State: relaxed Values from VASP.

Quantum ESPRESSO input file:
```
&SYSTEM
  ibrav = 0, nat = 4, ntyp = 3
/
ATOMIC_SPECIES
Au 196.97 Au.upf
Cr 52.00 Cr.upf
Se 78.96 Se.upf
ATOMIC_POSITIONS crystal
Au 0.250 0.250 0.250
Cr 0.005 0.005 0.986
Cr 0.495 0.495 0.514
Se 0.750 0.750 0.750
CELL_PARAMETERS angstrom
3.639 -0.522 0.279
2.279 2.884 0.279
1.419 0.567 6.582
```

Calculated values
The calculated density is 8373 kg/m³. The value obtained for the total magnetic moment is 7.76 μB/cell. The value obtained for the uncorrected formation energy is 137 meV per atom. Its density of states at the Fermi level is 0.793 states/eV per atom.



(4)
Material: CrAuSe2
Method: DFT, PBE
State: relaxed Values from VASP.

Quantum ESPRESSO input file:
```
&SYSTEM
  ibrav = 0, nat = 4, ntyp = 3
/
ATOMIC_SPECIES
Au 196.97 Au.upf
Cr 52.00 Cr.upf
Se 78.96 Se.upf
ATOMIC_POSITIONS crystal
Au 0.500 0.000 0.500
Cr 0.000 0.500 0.500
Se 0.000 0.000 0.000
Se 0.500 0.500 0.000
CELL_PARAMETERS angstrom
-3.136 -0.322 -1.902
3.705 0.071 -6.120
0.289 -3.605 0.133
```

Calculated values
The calculated density is 7087 kg/m³. The value obtained for the total magnetic moment is 3.68 μB/cell. The value obtained for the uncorrected formation energy is 121 meV per atom. Its density of states at the Fermi level is 0.713 states/eV per atom.



(5)
Material: CrAuSe2
Method: DFT, PBE
State: relaxed Values from VASP.

Quantum ESPRESSO input file:
```
&SYSTEM
  ibrav = 0, nat = 4, ntyp = 3
/
ATOMIC_SPECIES
Au 196.97 Au.upf
Cr 52.00 Cr.upf
Se 78.96 Se.upf
ATOMIC_POSITIONS crystal
Au 0.000 0.000 0.375
Cr 0.500 0.500 0.875
Se 0.000 0.000 0.875
Se 0.500 0.500 0.375
CELL_PARAMETERS angstrom
3.821 0.000 0.000
0.000 3.823 0.000
0.000 0.000 5.499
```

Calculated values
The calculated density is 8410 kg/m³. The value obtained for the total magnetic moment is 3.75 μB/cell. The value obtained for the uncorrected formation energy is -102 meV per atom. Its density of states at the Fermi level is 0.543 states/eV per atom.



(6)
Material: CrAuSe2
Method: DFT, PBE
State: relaxed Values from VASP.

Quantum ESPRESSO input file:
```
&SYSTEM
  ibrav = 0, nat = 4, ntyp = 3
/
ATOMIC_SPECIES
Cr 52.00 Cr.upf
Au 196.97 Au.upf
Se 78.96 Se.upf
ATOMIC_POSITIONS crystal
Cr 0.000 0.000 0.000
Au 0.500 0.500 0.500
Se 0.250 0.250 0.250
Se 0.750 0.750 0.750
CELL_PARAMETERS angstrom
3.362 0.326 3.300
-1.188 0.643 4.525
0.596 -3.497 3.117
```

Calculated values
The calculated density is 9073 kg/m³. The value obtained for the total magnetic moment is 3.06 μB/cell. The value obtained for the uncorrected formation energy is 208 meV per atom. Its density of states at the Fermi level is 0.433 states/eV per atom.



(7)
Material: Cr2AuSe
Method: DFT, PBE
State: relaxed Values from VASP.

Quantum ESPRESSO input file:
```
&SYSTEM
  ibrav = 0, nat = 8, ntyp = 3
/
ATOMIC_SPECIES
Cr 52.00 Cr.upf
Au 196.97 Au.upf
Se 78.96 Se.upf
ATOMIC_POSITIONS crystal
Cr 0.600 0.125 0.250
Cr 0.150 0.625 0.250
Cr 0.375 0.400 0.750
Cr 0.875 0.850 0.750
Au 0.000 0.000 0.000
Au 0.750 0.250 0.500
Se 0.500 0.500 0.000
Se 0.250 0.750 0.500
CELL_PARAMETERS angstrom
6.942 0.000 0.000
0.000 6.942 0.000
3.471 3.471 3.180
```

Calculated values
The calculated density is 8235 kg/m³. The value obtained for the total magnetic moment is 14.58 μB/cell. The value obtained for the uncorrected formation energy is 353 meV per atom. Its density of states at the Fermi level is 0.631 states/eV per atom.



(8)
Material: CrAuSe2
Method: DFT, PBE
State: relaxed Values from VASP.

Quantum ESPRESSO input file:
```
&SYSTEM
  ibrav = 0, nat = 4, ntyp = 3
/
ATOMIC_SPECIES
Au 196.97 Au.upf
Cr 52.00 Cr.upf
Se 78.96 Se.upf
ATOMIC_POSITIONS crystal
Au 0.500 0.500 0.500
Cr 0.750 0.750 0.750
Se 0.000 0.000 0.000
Se 0.250 0.250 0.250
CELL_PARAMETERS angstrom
-0.415 0.117 4.740
2.952 -2.566 2.711
3.318 2.179 2.626
```

Calculated values
The calculated density is 8863 kg/m³. The value obtained for the total magnetic moment is 3.39 μB/cell. The value obtained for the uncorrected formation energy is 423 meV per atom. Its density of states at the Fermi level is 0.675 states/eV per atom.



(9)
Material: CrAuSe2
Method: DFT, PBE
State: relaxed Values from VASP.

Quantum ESPRESSO input file:
```
&SYSTEM
  ibrav = 0, nat = 4, ntyp = 3
/
ATOMIC_SPECIES
Au 196.97 Au.upf
Cr 52.00 Cr.upf
Se 78.96 Se.upf
ATOMIC_POSITIONS crystal
Au 0.000 0.500 0.500
Cr 0.500 0.500 0.000
Se 0.000 0.000 0.000
Se 0.500 0.000 0.500
CELL_PARAMETERS angstrom
-2.408 2.618 -3.193
0.866 -4.425 -1.578
-4.022 -2.470 -0.743
```

Calculated values
The calculated density is 8098 kg/m³. The value obtained for the total magnetic moment is 4.08 μB/cell. The value obtained for the uncorrected formation energy is 87 meV per atom. Its density of states at the Fermi level is 0.392 states/eV per atom.



(10)
Material: CrSnAu2Se
Method: DFT, PBE
State: relaxed Values from VASP.

Quantum ESPRESSO input file:
```
&SYSTEM
  ibrav = 0, nat = 5, ntyp = 4
/
ATOMIC_SPECIES
Cr 52.00 Cr.upf
Au 196.97 Au.upf
Sn 118.71 Sn.upf
Se 78.96 Se.upf
ATOMIC_POSITIONS crystal
Cr 0.500 0.500 0.500
Au 0.000 0.000 0.500
Au 0.500 0.000 0.000
Sn 0.000 0.500 0.000
Se 0.000 0.000 0.000
CELL_PARAMETERS angstrom
-2.602 4.128 -0.284
-1.985 -0.875 5.462
3.794 2.514 1.781
```

Calculated values
The calculated density is 7613 kg/m³. The value obtained for the total magnetic moment is 4.53 μB/cell. The value obtained for the uncorrected formation energy is 775 meV per atom. Its density of states at the Fermi level is 0.495 states/eV per atom.



(11)
Material: CrTe2AuSe
Method: DFT, PBE
State: relaxed Values from VASP.

Quantum ESPRESSO input file:
```
&SYSTEM
  ibrav = 0, nat = 5, ntyp = 4
/
ATOMIC_SPECIES
Cr 52.00 Cr.upf
Te 127.60 Te.upf
Au 196.97 Au.upf
Se 78.96 Se.upf
ATOMIC_POSITIONS crystal
Cr 0.500 0.500 0.500
Te 0.000 0.000 0.500
Te 0.500 0.000 0.000
Au 0.000 0.500 0.000
Se 0.000 0.000 0.000
CELL_PARAMETERS angstrom
-2.169 0.308 -5.079
0.482 -4.855 -0.501
-5.059 -0.721 2.117
```

Calculated values
The calculated density is 6453 kg/m³. The value obtained for the total magnetic moment is 4.17 μB/cell. The value obtained for the uncorrected formation energy is 725 meV per atom. Its density of states at the Fermi level is 0.657 states/eV per atom.



(12)
Material: TlCrAuSe2
Method: DFT, PBE
State: relaxed Values from VASP.

Quantum ESPRESSO input file:
```
&SYSTEM
  ibrav = 0, nat = 10, ntyp = 4
/
ATOMIC_SPECIES
Tl 204.38 Tl.upf
Cr 52.00 Cr.upf
Au 196.97 Au.upf
Se 78.96 Se.upf
ATOMIC_POSITIONS crystal
Tl 0.196 0.750 0.500
Tl 0.804 0.250 0.500
Cr 0.500 0.750 0.000
Cr 0.500 0.250 0.000
Au 0.000 0.000 0.000
Au 0.000 0.500 0.000
Se 0.679 0.880 0.760
Se 0.679 0.620 0.240
Se 0.321 0.380 0.760
Se 0.321 0.120 0.240
CELL_PARAMETERS angstrom
-5.251 0.177 1.895
-0.509 -6.256 -0.825
2.635 2.051 7.108
```

Calculated values
The calculated density is 7988 kg/m³. The value obtained for the total magnetic moment is 7.97 μB/cell. The value obtained for the uncorrected formation energy is -228 meV per atom. Its density of states at the Fermi level is 0.455 states/eV per atom.